A relaxed CuPW4 crystal. Source: Alexandria via LeMat-Bulk, functional PBE.

Unit cell a=5.2534 b=5.2534 c=5.2534 alpha=60.00 beta=60.00 gamma=60.00
Closest atoms and distances in Å follow each position.
Atoms (fractional coordinates):
Cu (0.0000, 0.0000, 0.0000)  12 W 3.08, 4 P 3.22
P (0.2500, 0.2500, 0.2500)  12 W 3.08, 4 Cu 3.22
W (0.1201, 0.6266, 0.6266)  6 W 2.59-2.66
W (0.6266, 0.1201, 0.6266)  6 W 2.59-2.66
W (0.6266, 0.6266, 0.1201)  6 W 2.59-2.66
W (0.6266, 0.6266, 0.6266)  6 W 2.59-2.66

## Properties
The calculation puts the total magnetization at 0.00 Bohr magnetons per cell. The space group is F-43m, No. 216. Its energy relative to the elements is 1.00 eV/atom. The value obtained for the uncorrected energy is -9.22 eV per atom.